Entry from OQMD via LeMat-Bulk: a relaxed structure of Cu33Ag7 (GGA-PBE).

Its raw total energy is -3.496 eV per atom. The space group is No. 1.

Geometry as POSCAR:
```
Cu33Ag7
1.0
5.856 0.000 0.000
-2.348 8.784 0.000
-1.186 -1.876 9.934
Cu Ag
33 7
Cartesian
-0.676 0.607 9.479
1.234 5.080 5.863
-0.001 6.279 3.983
2.864 3.161 5.395
1.758 7.552 5.439
1.674 1.218 8.343
1.107 1.858 3.954
0.559 5.701 1.547
-1.138 1.197 4.930
5.279 0.557 2.501
1.138 8.171 1.130
-1.182 7.522 2.050
-0.557 6.991 6.348
2.928 6.329 0.653
0.580 -0.640 4.436
2.318 6.907 3.021
0.013 3.127 2.002
0.032 -0.025 6.833
-0.104 3.152 9.001
1.730 4.446 3.477
4.158 1.840 0.462
3.503 5.693 4.889
-1.832 5.014 9.580
0.624 2.474 6.349
-0.521 3.781 4.422
1.683 1.187 1.559
3.550 -0.636 7.902
5.834 -0.002 0.110
-2.942 6.344 7.356
-1.715 5.077 2.525
2.319 0.627 5.872
-1.107 4.384 0.110
2.898 -0.066 3.516
2.289 3.735 8.007
-1.734 1.811 7.415
0.589 5.703 8.524
3.526 2.465 2.995
2.338 3.772 0.932
1.082 -1.214 8.961
-1.147 4.454 6.871
```

Entry from OQMD via LeMat-Bulk: a relaxed structure of ErHfTa (GGA-PBE).

The calculation puts the excess energy over the best structure of this formula in the dataset at 0.000 eV per atom. Its raw total energy is -7.679 eV per atom. The space group is No. 216.

Geometry as POSCAR:
```
ErHfTa
1.0
0.000 3.385 3.385
3.385 0.000 3.385
3.385 3.385 0.000
Ta Hf Er
1 1 1
Cartesian
5.078 5.078 5.078
0.000 0.000 0.000
1.693 1.693 1.693
```

Which of these has the highest raw total energy?
Cu33Ag7